(1)
Below is a relaxed La2SbPbW crystal, with properties calculated at the PBE level.

a b c (Å): 5.574 5.574 5.192
angles (deg): 90.00 90.00 90.00
Element x y z (fractional)
La 0.000 0.500 0.000
La 0.500 0.000 0.000
Sb 0.000 0.000 0.500
Pb 0.500 0.500 0.500
W 0.000 0.000 0.000

Properties
- Final energy: -0.222 hartree per atom
- Raw formation energy: 0.09 eV/atom
- SG: No. 123
- Calculated volume: 32.3 Å³/atom

(2)
Below is a relaxed La2ScPb crystal, with properties calculated at the PBE level.

a b c (Å): 6.813 9.939 3.576
angles (deg): 90.00 90.00 90.00
Element x y z (fractional)
La 0.250 0.250 0.000
La 0.250 0.750 0.000
La 0.750 0.250 0.000
La 0.750 0.750 0.000
Sc 0.000 0.000 0.500
Sc 0.500 0.500 0.500
Pb 0.000 0.500 0.500
Pb 0.500 0.000 0.500

Properties
- Final energy: -0.192 hartree per atom
- SG: No. 65
- Calculated volume: 30.3 Å³/atom

(3)
Below is a relaxed La2ScPb crystal, with properties calculated at the PBE level.

a b c (Å): 11.874 3.482 5.918
angles (deg): 90.00 96.77 90.00
Element x y z (fractional)
La 0.239 0.000 0.237
La 0.261 0.500 0.763
La 0.739 0.500 0.237
La 0.761 0.000 0.763
Sc 0.000 0.000 0.500
Sc 0.500 0.500 0.500
Pb 0.000 0.500 0.000
Pb 0.500 0.000 0.000

Properties
- Final energy: -0.188 hartree per atom
- SG: No. 12
- Calculated volume: 30.4 Å³/atom

(4)
Below is a relaxed LaSc2Pb crystal, with properties calculated at the PBE level.

a b c (Å): 3.755 3.755 7.681
angles (deg): 90.00 90.00 90.00
Element x y z (fractional)
La 0.000 0.000 0.000
Sc 0.500 0.500 0.284
Sc 0.500 0.500 0.716
Pb 0.000 0.000 0.500

Properties
- Final energy: -0.202 hartree per atom
- SG: No. 123
- Calculated volume: 27.1 Å³/atom